First-principles (PBE) data for a geometry-optimized Pu2ZnPd3 structure, as listed in the Alexandria database.

## Properties
Energy relative to the elements ... -0.5581 eV per atom
N(E_F) ... 36.80 states/eV/cell
Energy above the lowest structure with this stoichiometry ... 0.00 kcal/mol of atoms
Magnetic moment ... 11.4 μB/f.u.
Energy ... -97.7 eV for the cell shown
Symmetry ... P6_3/mmc

```
12
Lattice="5.5863 0.0000 0.0000 -2.7931 4.8378 0.0000 0.0000 0.0000 8.3993" Properties=species:S:1:pos:R:3 pbc="T T T"
Zn 0.0000 0.0000 0.0000
Zn 0.0000 0.0000 4.1996
Pd 1.4121 0.8153 6.2995
Pd 4.1742 0.8153 6.2995
Pd 1.3811 4.0226 2.0998
Pd 0.0000 1.6305 2.0998
Pd -1.3811 4.0226 2.0998
Pd 2.7931 3.2073 6.2995
Pu 0.0000 3.2252 4.7754
Pu 2.7931 1.6126 3.6239
Pu 2.7931 1.6126 0.5758
Pu 0.0000 3.2252 7.8235
```